Entry 1:
Computed, not measured: BaLi2Ta after structural relaxation at the GGA-PBEsol level of DFT. Values from VASP.

```
&SYSTEM
  ibrav = 0, nat = 4, ntyp = 3
/
ATOMIC_SPECIES
Li 6.94 Li.upf
Ta 180.95 Ta.upf
Ba 137.33 Ba.upf
ATOMIC_POSITIONS crystal
Li 0.7592 0.5185 0.8142
Li 0.2408 0.4815 0.1858
Ta 0.5000 0.0000 0.0000
Ba 0.0000 0.0000 0.5000
CELL_PARAMETERS angstrom
2.9378 0.0000 0.0000
-1.4689 5.1961 0.0174
0.0000 -0.4678 6.1935
```

Energy (hartree per atom): -0.1430
Formation energy (meV per atom): 768
Total magnetization (μB/f.u.): 0.01
E above lowest polymorph (meV per atom): 0.0



Entry 2:
Computed, not measured: BaLiTa after structural relaxation at the GGA-PBEsol level of DFT. Values from VASP.

```
&SYSTEM
  ibrav = 0, nat = 3, ntyp = 3
/
ATOMIC_SPECIES
Ba 137.33 Ba.upf
Ta 180.95 Ta.upf
Li 6.94 Li.upf
ATOMIC_POSITIONS crystal
Ba 0.0000 0.0000 0.0131
Ta 0.3333 0.6667 0.3548
Li 0.6667 0.3333 0.6321
CELL_PARAMETERS angstrom
-2.1364 -2.1648 -0.8240
2.9576 -0.8724 0.6488
-2.0884 -1.0337 8.1306
```

Energy (hartree per atom): -0.1713
Formation energy (meV per atom): 894
Total magnetization (μB/f.u.): 0.00



> The highest energy belongs to which entry?

BaLi2Ta